(1)
# Co2ReAs

Co2ReAs after structural relaxation (PBE-GGA, Alexandria).

Cell lengths 4.559, 4.667, 4.958 Å; angles 97.08, 97.07, 90.60 degrees
Positions (direct):
Co 0.000 0.000 0.000
Co 0.140 0.507 0.926
Co 0.385 0.289 0.330
Co 0.626 0.624 0.738
Re 0.117 0.812 0.495
Re 0.578 0.781 0.233
As 0.496 0.140 0.854
As 0.895 0.303 0.440

Output
The density comes out at 12.1 g/cm³. The formation energy is 113 meV per atom. The value obtained for the density of states at the Fermi level is 7.8 states/eV per cell. For the total energy, the calculation gives -7.71 eV per atom.

---

(2)
# Co2ReAs

Co2ReAs after structural relaxation (PBE-GGA, Alexandria).

Cell lengths 7.986, 7.986, 3.904 Å; angles 95.04, 95.04, 24.74 degrees
Positions (direct):
Co 0.070 0.070 0.320
Co 0.183 0.183 0.846
Co 0.817 0.817 0.154
Co 0.930 0.930 0.680
Re 0.446 0.446 0.214
Re 0.554 0.554 0.786
As 0.323 0.323 0.682
As 0.677 0.677 0.318

Output
The density comes out at 12.1 g/cm³. The formation energy is 12 meV per atom. The value obtained for the density of states at the Fermi level is 7.3 states/eV per cell. For the total energy, the calculation gives -7.82 eV per atom.

---

(3)
# Co2ReAs

Co2ReAs after structural relaxation (PBE-GGA, Alexandria).

Cell lengths 4.490, 4.490, 2.703 Å; angles 90.00, 90.00, 110.99 degrees
Positions (direct):
Co 0.000 0.500 0.000
Co 0.500 0.000 0.000
Re 0.000 0.000 0.500
As 0.500 0.500 0.500

Output
The density comes out at 12.4 g/cm³. The formation energy is 199 meV per atom. The value obtained for the density of states at the Fermi level is 4.5 states/eV per cell. For the total energy, the calculation gives -7.63 eV per atom.

---

(4)
# Co2ReAs

Co2ReAs after structural relaxation (PBE-GGA, Alexandria).

Cell lengths 9.357, 9.357, 4.220 Å; angles 100.44, 100.44, 16.71 degrees
Positions (direct):
Co 0.000 0.000 0.000
Co 0.086 0.086 0.569
Co 0.226 0.226 0.082
Co 0.842 0.842 0.364
Re 0.378 0.378 0.906
Re 0.465 0.465 0.475
As 0.611 0.611 0.084
As 0.749 0.749 0.653

Output
The density comes out at 12.1 g/cm³. The formation energy is 50 meV per atom. The value obtained for the density of states at the Fermi level is 7.6 states/eV per cell. For the total energy, the calculation gives -7.78 eV per atom.

---

(5)
# Co2ReAs

Co2ReAs after structural relaxation (PBE-GGA, Alexandria).

Cell lengths 4.985, 4.985, 4.387 Å; angles 115.60, 115.60, 32.11 degrees
Positions (direct):
Co 0.000 0.000 0.000
Co 0.724 0.724 0.987
Re 0.450 0.450 0.442
As 0.217 0.217 0.550

Output
The density comes out at 12.2 g/cm³. The formation energy is 152 meV per atom. The value obtained for the density of states at the Fermi level is 3.4 states/eV per cell. For the total energy, the calculation gives -7.68 eV per atom.

---

(6)
# CoReAs

CoReAs after structural relaxation (PBE-GGA, Alexandria).

Cell lengths 4.496, 4.496, 4.496 Å; angles 142.76, 130.77, 63.31 degrees
Positions (direct):
Co 0.000 0.000 0.000
Re 0.651 0.651 0.000
As 0.322 0.322 0.000

Output
The density comes out at 12.9 g/cm³. The formation energy is 366 meV per atom. The value obtained for the density of states at the Fermi level is 3.1 states/eV per cell. As for the polymorph energy (0 for the lowest one): 106.2 meV/atom. For the total energy, the calculation gives -7.70 eV per atom.

---

(7)
# CoReAs3

CoReAs3 after structural relaxation (PBE-GGA, Alexandria).

Cell lengths 4.488, 4.488, 4.488 Å; angles 90.00, 90.00, 90.00 degrees
Positions (direct):
Co 0.000 0.000 0.000
Re 0.500 0.500 0.500
As 0.000 0.000 0.500
As 0.000 0.500 0.000
As 0.500 0.000 0.000

Output
The density comes out at 8.6 g/cm³. The formation energy is 1036 meV per atom. The value obtained for the density of states at the Fermi level is 4.7 states/eV per cell. As for the polymorph energy (0 for the lowest one): 0.0 meV/atom. For the total energy, the calculation gives -5.66 eV per atom.

---

(8)
# Co2ReAs

Co2ReAs after structural relaxation (PBE-GGA, Alexandria).

Cell lengths 4.377, 4.377, 4.533 Å; angles 95.57, 95.57, 36.47 degrees
Positions (direct):
Co 0.000 0.000 0.000
Co 0.739 0.739 0.265
Re 0.264 0.264 0.793
As 0.488 0.488 0.447

Output
The density comes out at 12.3 g/cm³. The formation energy is 160 meV per atom. The value obtained for the density of states at the Fermi level is 4.0 states/eV per cell. For the total energy, the calculation gives -7.67 eV per atom.

---

(9)
# Co2ReAs

Co2ReAs after structural relaxation (PBE-GGA, Alexandria).

Cell lengths 4.789, 4.789, 4.789 Å; angles 143.50, 128.87, 64.44 degrees
Positions (direct):
Co 0.229 0.229 0.000
Co 0.771 0.771 0.000
Re 0.500 0.000 0.500
As 0.000 0.500 0.500

Output
The density comes out at 12.5 g/cm³. The formation energy is 207 meV per atom. The value obtained for the density of states at the Fermi level is 3.9 states/eV per cell. For the total energy, the calculation gives -7.62 eV per atom.

---

(10)
# CoReAs

CoReAs after structural relaxation (PBE-GGA, Alexandria).

Cell lengths 2.834, 2.834, 5.958 Å; angles 90.00, 90.00, 120.00 degrees
Positions (direct):
Co 0.000 0.000 0.000
Re 0.333 0.667 0.333
As 0.667 0.333 0.685

Output
The density comes out at 12.8 g/cm³. The formation energy is 260 meV per atom. The value obtained for the density of states at the Fermi level is 2.7 states/eV per cell. As for the polymorph energy (0 for the lowest one): 0.0 meV/atom. For the total energy, the calculation gives -7.81 eV per atom.

---

(11)
# Co2ReAs

Co2ReAs after structural relaxation (PBE-GGA, Alexandria).

Cell lengths 3.748, 3.637, 7.758 Å; angles 90.00, 97.91, 90.00 degrees
Positions (direct):
Co 0.000 0.000 0.000
Co 0.019 0.500 0.252
Co 0.200 0.500 0.753
Co 0.525 0.000 0.256
Re 0.081 0.000 0.482
Re 0.585 0.500 0.486
As 0.450 0.500 0.047
As 0.661 0.000 0.737

Output
The density comes out at 12.0 g/cm³. The formation energy is 16 meV per atom. The value obtained for the density of states at the Fermi level is 4.9 states/eV per cell. For the total energy, the calculation gives -7.81 eV per atom.

---

(12)
# Co2ReAs

Co2ReAs after structural relaxation (PBE-GGA, Alexandria).

Cell lengths 2.747, 3.334, 5.590 Å; angles 90.00, 90.00, 90.00 degrees
Positions (direct):
Co 0.000 0.000 0.000
Co 0.500 0.500 0.248
Re 0.000 0.000 0.471
As 0.500 0.500 0.802

Output
The density comes out at 12.3 g/cm³. The formation energy is 219 meV per atom. The value obtained for the density of states at the Fermi level is 4.5 states/eV per cell. For the total energy, the calculation gives -7.61 eV per atom.